Version P
Here is a relaxed Bi2W2O crystal from the Alexandria database. Energies are from PBE+U.

a b c (Å): 6.0616 6.0616 5.9329
angles (deg): 90.00 90.00 90.00
Sites, in units of the cell vectors:
O1 0.0000 0.0000 0.0000
O2 0.5000 0.5000 0.0000
Bi1 0.1967 0.6967 0.5000
Bi2 0.6967 0.8033 0.5000
Bi3 0.8033 0.3033 0.5000
Bi4 0.3033 0.1967 0.5000
W1 0.3138 0.8138 0.0000
W2 0.8138 0.6862 0.0000
W3 0.6862 0.1862 0.0000
W4 0.1862 0.3138 0.0000

The total magnetic moment comes out at 9.2 Bohr magnetons per cell.

Version Q
Here is a relaxed Bi2W2O crystal from the Alexandria database. Energies are from PBE+U.

a b c (Å): 6.0865 6.0865 5.5199
angles (deg): 56.54 56.54 90.00
Sites, in units of the cell vectors:
O1 0.0000 0.0000 0.0000
Bi1 0.7500 0.2500 0.5000
Bi2 0.2500 0.7500 0.5000
W1 0.2785 0.2785 0.4430
W2 0.7215 0.7215 0.5570

The total magnetic moment comes out at 5.7 Bohr magnetons per cell.

version P comes first in stability; the runner-up is 170 meV/atom higher.

Version P
Here is a relaxed Bi3WO crystal from the Alexandria database. Energies are from PBE+U.

a b c (Å): 5.3495 5.3495 5.3495
angles (deg): 90.00 90.00 90.00
Sites, in units of the cell vectors:
O1 0.5000 0.5000 0.5000
Bi1 0.0000 0.5000 0.0000
Bi2 0.0000 0.0000 0.5000
Bi3 0.5000 0.0000 0.0000
W1 0.0000 0.0000 0.0000

The total magnetic moment comes out at 0.0 Bohr magnetons per cell.

Version Q
Here is a relaxed Bi3WO crystal from the Alexandria database. Energies are from PBE+U.

a b c (Å): 4.9290 4.9290 4.9290
angles (deg): 90.00 90.00 90.00
Sites, in units of the cell vectors:
O1 0.0000 0.0000 0.0000
Bi1 0.0000 0.5000 0.0000
Bi2 0.0000 0.0000 0.5000
Bi3 0.5000 0.0000 0.0000
W1 0.5000 0.5000 0.5000

The total magnetic moment comes out at 3.3 Bohr magnetons per cell.

version Q comes first in stability; the runner-up is 867 meV/atom higher.

Version P
Here is a relaxed BiW3O crystal from the Alexandria database. Energies are from PBE+U.

a b c (Å): 4.3889 4.3889 4.3889
angles (deg): 90.00 90.00 90.00
Sites, in units of the cell vectors:
O1 0.0000 0.0000 0.0000
Bi1 0.5000 0.5000 0.5000
W1 0.0000 0.5000 0.0000
W2 0.0000 0.0000 0.5000
W3 0.5000 0.0000 0.0000

The total magnetic moment comes out at 3.0 Bohr magnetons per cell.

Version Q
Here is a relaxed BiW3O crystal from the Alexandria database. Energies are from PBE+U.

a b c (Å): 5.7711 5.7711 5.7711
angles (deg): 90.00 90.00 90.00
Sites, in units of the cell vectors:
O1 0.5000 0.5000 0.5000
Bi1 0.0000 0.0000 0.0000
W1 0.0000 0.5000 0.0000
W2 0.0000 0.0000 0.5000
W3 0.5000 0.0000 0.0000

The total magnetic moment comes out at 12.9 Bohr magnetons per cell.

version P comes first in stability; the runner-up is 1709 meV/atom higher.